# 1
DFT (SCAN) results for a crystal of SrCaSc4 relaxed with PBEsol. Values from VASP.

Crystal system = cubic
DFT total energy = -14.53 eV/atom

The structure in Quantum ESPRESSO input format:
```
&SYSTEM
  ibrav = 0, nat = 6, ntyp = 3
/
ATOMIC_SPECIES
Sc 44.96 Sc.upf
Sr 87.62 Sr.upf
Ca 40.08 Ca.upf
CELL_PARAMETERS angstrom
6.389 0.000 0.000
3.194 5.533 0.000
3.194 1.844 5.216
ATOMIC_POSITIONS angstrom
Sc 8.007 2.754 1.947
Sc 6.389 3.689 4.591
Sc 6.389 5.558 1.947
Sc 4.770 2.754 1.947
Sr 9.583 5.533 3.912
Ca 0.000 0.000 0.000
```

# 2
DFT (SCAN) results for a crystal of Li2FeSi relaxed with PBEsol. Values from VASP.

Crystal system = monoclinic
DFT total energy = -8.26 eV/atom
Formation energy from raw total energies = -0.03 eV/atom

The structure in Quantum ESPRESSO input format:
```
&SYSTEM
  ibrav = 0, nat = 4, ntyp = 3
/
ATOMIC_SPECIES
Fe 55.84 Fe.upf
Li 6.94 Li.upf
Si 28.09 Si.upf
CELL_PARAMETERS angstrom
2.547 0.006 0.000
-0.381 4.083 0.000
0.000 0.000 4.477
ATOMIC_POSITIONS angstrom
Fe 1.273 0.003 2.238
Li 0.524 0.988 0.000
Li 1.642 3.102 0.000
Si -0.191 2.042 2.238
```

# 3
DFT (SCAN) results for a crystal of Re2SnTeN relaxed with PBEsol. Values from VASP.

Crystal system = tetragonal
DFT total energy = -41.56 eV/atom
Formation energy from raw total energies = 3.37 eV/atom

The structure in Quantum ESPRESSO input format:
```
&SYSTEM
  ibrav = 0, nat = 5, ntyp = 4
/
ATOMIC_SPECIES
Re 186.21 Re.upf
Sn 118.71 Sn.upf
N 14.01 N.upf
Te 127.60 Te.upf
CELL_PARAMETERS angstrom
5.070 0.000 0.000
0.000 5.070 0.000
0.000 0.000 5.665
ATOMIC_POSITIONS angstrom
Re 2.535 0.000 0.000
Re 0.000 2.535 0.000
Sn 0.000 0.000 0.000
N 2.535 2.535 2.832
Te 0.000 0.000 2.832
```

# 4
DFT (SCAN) results for a crystal of CaAl8Ni2 relaxed with PBEsol. Values from VASP.

Crystal system = orthorhombic
DFT total energy = -9.89 eV/atom

The structure in Quantum ESPRESSO input format:
```
&SYSTEM
  ibrav = 0, nat = 44, ntyp = 3
/
ATOMIC_SPECIES
Al 26.98 Al.upf
Ni 58.69 Ni.upf
Ca 40.08 Ca.upf
CELL_PARAMETERS angstrom
-1.924 1.078 -3.255
-10.153 -5.993 4.014
-4.466 11.992 6.611
ATOMIC_POSITIONS angstrom
Al -2.877 4.088 0.679
Al -5.078 10.801 4.203
Al -6.038 -2.458 0.379
Al -10.288 -2.367 5.295
Al -5.377 7.004 3.122
Al -4.929 -0.046 0.523
Al -9.914 2.408 4.281
Al -11.165 0.073 4.247
Al -13.839 7.405 8.255
Al -7.309 2.999 5.312
Al -9.437 5.450 7.381
Al 0.000 0.000 0.000
Al -2.703 -0.328 -0.886
Al -6.894 -3.424 2.940
Al -7.067 9.026 4.791
Al -7.438 2.094 2.714
Al -13.665 2.990 6.690
Al -11.464 -3.724 3.166
Al -3.657 4.510 3.654
Al -11.613 7.123 6.846
Al -9.475 -1.949 2.579
Al -3.195 6.535 1.678
Al -5.082 2.883 1.583
Al -5.181 0.549 3.243
Al -7.329 -0.585 1.762
Al -11.460 4.194 5.786
Al -9.213 7.662 5.607
Al -7.724 9.423 7.685
Al -9.104 4.984 4.655
Al -10.962 1.489 6.970
Al -6.628 4.669 3.088
Al -4.331 8.366 5.330
Ni -9.019 -3.918 4.031
Ni -3.009 6.910 4.066
Ni -5.138 -1.661 2.486
Ni -9.302 3.229 6.566
Ni -11.610 -0.911 6.558
Ni -5.600 9.917 6.593
Ni -5.317 2.769 4.059
Ni -9.481 7.660 8.139
Ca -2.431 1.232 1.845
Ca -8.112 -0.142 4.746
Ca -12.187 4.767 8.780
Ca -6.507 6.141 5.878
```

# 5
DFT (SCAN) results for a crystal of ZrCuSbI2 relaxed with PBEsol. Values from VASP.

Crystal system = tetragonal
DFT total energy = -30.78 eV/atom
Formation energy from raw total energies = 0.55 eV/atom

The structure in Quantum ESPRESSO input format:
```
&SYSTEM
  ibrav = 0, nat = 5, ntyp = 4
/
ATOMIC_SPECIES
Cu 63.55 Cu.upf
Zr 91.22 Zr.upf
I 126.90 I.upf
Sb 121.76 Sb.upf
CELL_PARAMETERS angstrom
-2.656 -3.072 -3.036
-0.070 -3.533 3.637
-4.410 1.988 1.846
ATOMIC_POSITIONS angstrom
Cu 0.000 0.000 0.000
Zr -3.568 -2.309 1.223
I -1.328 -1.536 -1.518
I -0.035 -1.767 1.818
Sb -2.205 0.994 0.923
```

# 6
DFT (SCAN) results for a crystal of Zr2GeIF relaxed with PBEsol. Values from VASP.

Crystal system = tetragonal
DFT total energy = -24.49 eV/atom
Formation energy from raw total energies = -0.33 eV/atom

The structure in Quantum ESPRESSO input format:
```
&SYSTEM
  ibrav = 0, nat = 5, ntyp = 4
/
ATOMIC_SPECIES
Ge 72.64 Ge.upf
I 126.90 I.upf
Zr 91.22 Zr.upf
F 19.00 F.upf
CELL_PARAMETERS angstrom
4.442 0.000 0.000
0.000 4.442 0.000
0.000 0.000 5.136
ATOMIC_POSITIONS angstrom
Ge 2.221 2.221 2.568
I 0.000 0.000 2.568
Zr 2.221 0.000 0.000
Zr 0.000 2.221 0.000
F 0.000 0.000 0.000
```

# 7
DFT (SCAN) results for a crystal of RuSN2F relaxed with PBEsol. Values from VASP.

E above lowest polymorph = 0.6535 eV/atom
Crystal system = tetragonal
DFT total energy = -11.91 eV/atom
Formation energy from raw total energies = 1.41 eV/atom

The structure in Quantum ESPRESSO input format:
```
&SYSTEM
  ibrav = 0, nat = 5, ntyp = 4
/
ATOMIC_SPECIES
S 32.06 S.upf
Ru 101.07 Ru.upf
N 14.01 N.upf
F 19.00 F.upf
CELL_PARAMETERS angstrom
3.401 0.000 0.000
0.000 3.401 0.000
0.000 0.000 4.753
ATOMIC_POSITIONS angstrom
S 0.000 0.000 0.000
Ru 1.700 1.700 2.377
N 0.000 1.700 0.000
N 1.700 0.000 0.000
F 0.000 0.000 2.377
```

# 8
DFT (SCAN) results for a crystal of CsHfMo2 relaxed with PBEsol. Values from VASP.

Crystal system = cubic
DFT total energy = -40.76 eV/atom

The structure in Quantum ESPRESSO input format:
```
&SYSTEM
  ibrav = 0, nat = 4, ntyp = 3
/
ATOMIC_SPECIES
Hf 178.49 Hf.upf
Mo 95.94 Mo.upf
Cs 132.91 Cs.upf
CELL_PARAMETERS angstrom
4.792 0.000 0.000
2.396 4.150 0.000
2.396 1.383 3.913
ATOMIC_POSITIONS angstrom
Hf 4.792 2.767 1.956
Mo 7.188 4.150 2.935
Mo 2.396 1.383 0.978
Cs 0.000 0.000 0.000
```

# 9
DFT (SCAN) results for a crystal of BMo3I relaxed with PBEsol. Values from VASP.

Crystal system = cubic
DFT total energy = -26.60 eV/atom
Formation energy from raw total energies = 3.17 eV/atom

The structure in Quantum ESPRESSO input format:
```
&SYSTEM
  ibrav = 0, nat = 5, ntyp = 3
/
ATOMIC_SPECIES
Mo 95.94 Mo.upf
B 10.81 B.upf
I 126.90 I.upf
CELL_PARAMETERS angstrom
-3.555 1.339 -2.902
1.115 -3.548 -3.003
-2.995 -2.910 2.326
ATOMIC_POSITIONS angstrom
Mo -1.777 0.670 -1.451
Mo -1.498 -1.455 1.163
Mo 0.558 -1.774 -1.502
B -2.717 -2.560 -1.789
I 0.000 0.000 0.000
```

# 10
DFT (SCAN) results for a crystal of CdSi2Os relaxed with PBEsol. Values from VASP.

Crystal system = orthorhombic
DFT total energy = -30.17 eV/atom
Formation energy from raw total energies = 0.41 eV/atom

The structure in Quantum ESPRESSO input format:
```
&SYSTEM
  ibrav = 0, nat = 4, ntyp = 3
/
ATOMIC_SPECIES
Si 28.09 Si.upf
Os 190.23 Os.upf
Cd 112.41 Cd.upf
CELL_PARAMETERS angstrom
2.815 -0.008 0.000
-1.321 2.486 0.000
0.000 0.000 9.497
ATOMIC_POSITIONS angstrom
Si 0.000 0.000 1.970
Si 0.000 0.000 7.527
Os 0.747 1.239 0.000
Cd 0.747 1.239 4.749
```

# 11
DFT (SCAN) results for a crystal of YCuAu relaxed with PBEsol. Values from VASP.

Crystal system = hexagonal
DFT total energy = -38.14 eV/atom

The structure in Quantum ESPRESSO input format:
```
&SYSTEM
  ibrav = 0, nat = 3, ntyp = 3
/
ATOMIC_SPECIES
Cu 63.55 Cu.upf
Au 196.97 Au.upf
Y 88.91 Y.upf
CELL_PARAMETERS angstrom
3.472 0.000 0.000
0.000 4.391 0.000
0.000 -2.196 3.803
ATOMIC_POSITIONS angstrom
Cu 0.000 0.000 2.535
Au 0.000 0.000 0.000
Y 1.736 2.196 1.268
```

# 12
DFT (SCAN) results for a crystal of KSnO2 relaxed with PBEsol. Values from VASP.

Crystal system = tetragonal
DFT total energy = -15.64 eV/atom
Formation energy from raw total energies = -1.46 eV/atom

The structure in Quantum ESPRESSO input format:
```
&SYSTEM
  ibrav = 0, nat = 8, ntyp = 3
/
ATOMIC_SPECIES
Sn 118.71 Sn.upf
O 16.00 O.upf
K 39.10 K.upf
CELL_PARAMETERS angstrom
5.934 0.000 0.000
-2.967 5.382 0.045
0.000 3.230 4.978
ATOMIC_POSITIONS angstrom
Sn 0.000 0.000 0.000
Sn 2.967 5.114 3.756
O 4.450 3.660 3.578
O 1.483 1.453 0.177
O 2.027 5.248 1.900
O -2.027 6.863 4.389
K 0.000 3.499 1.267
K 2.967 1.615 2.489
```